Entry 1:
A relaxed LaTaSe2 crystal. Source: Alexandria, functional PBE.

Summary:
For the distance to the lowest polymorph of the same formula, the calculation gives 136 meV per atom. The density of states at the Fermi level is 1.09 states/eV per atom. As for the crystal system: orthorhombic.

Unit cell a=5.396 b=5.396 c=5.396 alpha=136.75 beta=116.55 gamma=79.90
Fractional positions:
La 0.250 0.750 0.500
Se 0.954 0.954 0.000
Se 0.546 0.546 0.000
Ta 0.750 0.250 0.500

***

Entry 2:
A relaxed LaTaSe crystal. Source: Alexandria, functional PBE.

Summary:
For the distance to the lowest polymorph of the same formula, the calculation gives 205 meV per atom. The density of states at the Fermi level is 0.96 states/eV per atom. As for the crystal system: hexagonal.

Unit cell a=4.495 b=4.495 c=4.172 alpha=90.00 beta=90.00 gamma=120.00
Fractional positions:
La 0.000 0.000 0.000
Se 0.667 0.333 0.500
Ta 0.333 0.667 0.500

***

Entry 3:
A relaxed LaTaSe3 crystal. Source: Alexandria, functional PBE.

Summary:
For the distance to the lowest polymorph of the same formula, the calculation gives 2080 meV per atom. The density of states at the Fermi level is 3.19 states/eV per atom. As for the crystal system: cubic.

Unit cell a=5.581 b=5.581 c=5.581 alpha=90.00 beta=90.00 gamma=90.00
Fractional positions:
Se 0.000 0.000 0.500
Se 0.500 0.000 0.000
Se 0.000 0.500 0.000
Ta 0.500 0.500 0.500
La 0.000 0.000 0.000

***

Entry 4:
A relaxed LaTaSe crystal. Source: Alexandria, functional PBE.

Summary:
For the distance to the lowest polymorph of the same formula, the calculation gives 78 meV per atom. The density of states at the Fermi level is 0.38 states/eV per atom. As for the crystal system: trigonal.

Unit cell a=3.504 b=3.504 c=6.786 alpha=90.00 beta=90.00 gamma=120.00
Fractional positions:
Ta 0.667 0.333 0.623
La 0.000 0.000 0.004
Se 0.333 0.667 0.373

***

Entry 5:
A relaxed La2TaSe crystal. Source: Alexandria, functional PBE.

Summary:
The density of states at the Fermi level is 0.64 states/eV per atom. As for the crystal system: trigonal.

Unit cell a=3.923 b=3.923 c=8.958 alpha=77.33 beta=77.33 gamma=60.05
Fractional positions:
Se 0.750 0.750 0.750
Ta 0.250 0.250 0.250
La 0.005 0.005 0.986
La 0.495 0.495 0.514

***

Entry 6:
A relaxed La3TaSe6 crystal. Source: Alexandria, functional PBE.

Summary:
The density of states at the Fermi level is 0.50 states/eV per atom. As for the crystal system: orthorhombic.

Unit cell a=7.072 b=9.325 c=9.325 alpha=102.15 beta=90.00 gamma=90.00
Fractional positions:
Se 0.685 0.313 0.365
Se 0.184 0.781 0.219
Se 0.185 0.687 0.635
Se 0.185 0.365 0.313
Se 0.670 0.969 0.031
Se 0.170 0.031 0.969
Se 0.693 0.903 0.428
Se 0.193 0.428 0.903
Se 0.685 0.635 0.687
Se 0.684 0.219 0.781
Se 0.193 0.097 0.572
Se 0.693 0.572 0.097
La 0.896 0.598 0.402
La 0.474 0.275 0.084
La 0.474 0.916 0.725
La 0.974 0.725 0.916
La 0.396 0.402 0.598
La 0.974 0.084 0.275
Ta 0.032 0.192 0.808
Ta 0.532 0.808 0.192

***

Entry 7:
A relaxed LaTaSe2 crystal. Source: Alexandria, functional PBE.

Summary:
For the distance to the lowest polymorph of the same formula, the calculation gives 50 meV per atom. The density of states at the Fermi level is 0.30 states/eV per atom. As for the crystal system: monoclinic.

Unit cell a=4.476 b=4.476 c=6.812 alpha=73.36 beta=73.36 gamma=48.51
Fractional positions:
Ta 0.474 0.474 0.693
Se 0.806 0.806 0.571
Se 0.999 0.999 0.969
La 0.221 0.221 0.267

***

Entry 8:
A relaxed La2TaSe crystal. Source: Alexandria, functional PBE.

Summary:
The density of states at the Fermi level is 1.14 states/eV per atom. As for the crystal system: monoclinic.

Unit cell a=6.118 b=6.118 c=5.295 alpha=74.37 beta=74.37 gamma=32.81
Fractional positions:
Se 0.539 0.539 0.522
Ta 0.206 0.206 0.240
La 0.775 0.775 0.686
La 0.981 0.981 0.052

***

Entry 9:
A relaxed LaTaSe4 crystal. Source: Alexandria, functional PBE.

Summary:
For the distance to the lowest polymorph of the same formula, the calculation gives 0 meV per atom. As for the crystal system: monoclinic.

Unit cell a=6.813 b=6.891 c=9.660 alpha=105.02 beta=104.72 gamma=106.05
Fractional positions:
La 0.671 0.421 0.842
La 0.329 0.579 0.158
Se 0.048 0.830 0.085
Se 0.464 0.745 0.915
Se 0.952 0.170 0.915
Se 0.106 0.410 0.346
Se 0.536 0.255 0.085
Se 0.260 0.064 0.654
Se 0.894 0.590 0.654
Se 0.740 0.936 0.346
Ta 0.829 0.079 0.158
Ta 0.171 0.921 0.842

***

Entry 10:
A relaxed LaTaSe3 crystal. Source: Alexandria, functional PBE.

Summary:
For the distance to the lowest polymorph of the same formula, the calculation gives 91 meV per atom. The density of states at the Fermi level is 0.31 states/eV per atom. As for the crystal system: monoclinic.

Unit cell a=11.178 b=11.178 c=6.143 alpha=100.00 beta=100.00 gamma=19.20
Fractional positions:
Se 0.533 0.533 0.280
Se 0.312 0.312 0.127
Se 0.688 0.688 0.873
Se 0.467 0.467 0.720
Se 0.167 0.167 0.340
Se 0.833 0.833 0.660
Ta 0.747 0.747 0.311
Ta 0.253 0.253 0.689
La 0.074 0.074 0.681
La 0.926 0.926 0.319

***

Entry 11:
A relaxed LaTaSe2 crystal. Source: Alexandria, functional PBE.

Summary:
For the distance to the lowest polymorph of the same formula, the calculation gives 1 meV per atom. The density of states at the Fermi level is 0.42 states/eV per atom. As for the crystal system: orthorhombic.

Unit cell a=7.247 b=7.247 c=7.247 alpha=151.15 beta=150.45 gamma=41.77
Fractional positions:
Se 0.972 0.972 0.000
Se 0.687 0.187 0.500
La 0.295 0.795 0.500
Ta 0.546 0.546 0.000

***

Entry 12:
A relaxed LaTaSe2 crystal. Source: Alexandria, functional PBE.

Summary:
For the distance to the lowest polymorph of the same formula, the calculation gives 538 meV per atom. The density of states at the Fermi level is 0.98 states/eV per atom. As for the crystal system: trigonal.

Unit cell a=9.295 b=9.295 c=9.295 alpha=23.48 beta=23.48 gamma=23.48
Fractional positions:
Se 0.231 0.231 0.231
Se 0.011 0.011 0.011
Ta 0.513 0.513 0.513
La 0.745 0.745 0.745

***

Entry 13:
A relaxed La2TaSe crystal. Source: Alexandria, functional PBE.

Summary:
The density of states at the Fermi level is 0.97 states/eV per atom. As for the crystal system: orthorhombic.

Unit cell a=6.581 b=6.581 c=6.581 alpha=148.14 beta=135.58 gamma=55.70
Fractional positions:
La 0.020 0.020 0.000
La 0.757 0.257 0.500
Ta 0.276 0.776 0.500
Se 0.447 0.447 0.000

***

Entry 14:
A relaxed LaTaSe2 crystal. Source: Alexandria, functional PBE.

Summary:
For the distance to the lowest polymorph of the same formula, the calculation gives 161 meV per atom. The density of states at the Fermi level is 0.63 states/eV per atom. As for the crystal system: tetragonal.

Unit cell a=3.390 b=3.390 c=7.179 alpha=90.00 beta=90.00 gamma=90.00
Fractional positions:
Se 0.000 0.000 0.465
Se 0.000 0.000 0.035
La 0.500 0.500 0.750
Ta 0.500 0.500 0.250

***

Entry 15:
A relaxed LaTaTeSe2 crystal. Source: Alexandria, functional PBE.

Summary:
The density of states at the Fermi level is 1.13 states/eV per atom. As for the crystal system: tetragonal.

Unit cell a=4.864 b=6.768 c=4.864 alpha=90.00 beta=90.00 gamma=90.00
Fractional positions:
Te 0.500 0.500 0.500
La 0.000 0.500 0.000
Ta 0.000 0.000 0.000
Se 0.000 0.000 0.500
Se 0.500 0.000 0.000

***

Entry 16:
A relaxed LaTa2VSe crystal. Source: Alexandria, functional PBE.

Summary:
The density of states at the Fermi level is 0.94 states/eV per atom. As for the crystal system: tetragonal.

Unit cell a=4.663 b=5.298 c=4.663 alpha=90.00 beta=90.00 gamma=90.00
Fractional positions:
Se 0.000 0.500 0.000
Ta 0.000 0.000 0.500
Ta 0.500 0.000 0.000
V 0.000 0.000 0.000
La 0.500 0.500 0.500

***

Entry 17:
A relaxed LaTb4Se6 crystal. Source: Alexandria, functional PBE.

Summary:
The density of states at the Fermi level is 0.32 states/eV per atom. As for the crystal system: orthorhombic.

Unit cell a=4.087 b=7.037 c=20.866 alpha=90.00 beta=90.00 gamma=106.88
Fractional positions:
Tb 0.859 0.718 0.962
Tb 0.859 0.718 0.538
Tb 0.141 0.282 0.038
Tb 0.408 0.817 0.125
Tb 0.592 0.183 0.875
Tb 0.141 0.282 0.462
Tb 0.408 0.817 0.375
Tb 0.592 0.183 0.625
Se 0.767 0.534 0.091
Se 0.952 0.904 0.836
Se 0.767 0.534 0.409
Se 0.681 0.362 0.750
Se 0.048 0.096 0.164
Se 0.500 0.000 0.000
Se 0.233 0.466 0.591
Se 0.319 0.638 0.250
Se 0.233 0.466 0.909
Se 0.048 0.096 0.336
Se 0.952 0.904 0.664
Se 0.500 0.000 0.500
La 0.343 0.687 0.750
La 0.657 0.313 0.250

***

Entry 18:
A relaxed La5TbSe6 crystal. Source: Alexandria, functional PBE.

Summary:
The density of states at the Fermi level is 0.55 states/eV per atom. As for the crystal system: monoclinic.

Unit cell a=7.407 b=7.406 c=7.418 alpha=60.05 beta=80.34 gamma=70.35
Fractional positions:
La 0.500 0.500 0.000
La 0.500 0.830 0.341
La 0.500 0.170 0.659
La 0.000 0.666 0.668
La 0.000 0.334 0.332
Se 0.243 0.919 0.676
Se 0.757 0.081 0.324
Se 0.243 0.596 0.324
Se 0.247 0.241 0.000
Se 0.753 0.759 0.000
Se 0.757 0.404 0.676
Tb 0.000 0.000 0.000

***

Entry 19:
A relaxed LaTb5Se6 crystal. Source: Alexandria, functional PBE.

Summary:
The density of states at the Fermi level is 0.49 states/eV per atom. As for the crystal system: monoclinic.

Unit cell a=7.163 b=7.163 c=7.166 alpha=99.59 beta=99.59 gamma=120.28
Fractional positions:
Se 0.429 0.086 0.257
Se 0.259 0.259 0.748
Se 0.571 0.914 0.743
Se 0.914 0.571 0.743
Se 0.741 0.741 0.252
Se 0.086 0.429 0.257
Tb 0.500 0.500 0.500
Tb 0.667 0.333 0.000
Tb 0.162 0.838 0.500
Tb 0.333 0.667 0.000
Tb 0.838 0.162 0.500
La 0.000 0.000 0.000

***

Entry 20:
A relaxed La3TbSe6 crystal. Source: Alexandria, functional PBE.

Summary:
For the distance to the lowest polymorph of the same formula, the calculation gives 0 meV per atom. The density of states at the Fermi level is 0.00 states/eV per atom. As for the crystal system: trigonal.

Unit cell a=8.716 b=8.716 c=8.716 alpha=91.44 beta=91.44 gamma=91.44
Fractional positions:
Se 0.588 0.812 0.460
Se 0.691 0.085 0.922
Se 0.915 0.078 0.309
Se 0.540 0.412 0.188
Se 0.412 0.188 0.540
Se 0.922 0.691 0.085
Se 0.460 0.588 0.812
Se 0.812 0.460 0.588
Se 0.188 0.540 0.412
Se 0.085 0.922 0.691
Se 0.309 0.915 0.078
Se 0.078 0.309 0.915
La 0.922 0.751 0.430
La 0.078 0.249 0.570
La 0.570 0.078 0.249
La 0.430 0.922 0.751
La 0.249 0.570 0.078
La 0.751 0.430 0.922
Tb 0.500 0.500 0.500
Tb 0.000 0.000 0.000

***

Entry 21:
A relaxed LaTb3Se4 crystal. Source: Alexandria, functional PBE.

Summary:
For the distance to the lowest polymorph of the same formula, the calculation gives 5 meV per atom. The density of states at the Fermi level is 0.70 states/eV per atom. As for the crystal system: hexagonal.

Unit cell a=4.118 b=4.118 c=27.593 alpha=90.00 beta=90.00 gamma=120.00
Fractional positions:
Se 0.333 0.667 0.060
Se 0.667 0.333 0.940
Se 0.000 0.000 0.680
Se 0.000 0.000 0.320
Se 0.667 0.333 0.560
Se 0.000 0.000 0.180
Se 0.000 0.000 0.820
Se 0.333 0.667 0.440
Tb 0.333 0.667 0.621
Tb 0.667 0.333 0.379
Tb 0.000 0.000 0.500
Tb 0.667 0.333 0.121
Tb 0.000 0.000 0.000
Tb 0.333 0.667 0.879
La 0.333 0.667 0.250
La 0.667 0.333 0.750

***

Entry 22:
A relaxed La2TbSe4 crystal. Source: Alexandria, functional PBE.

Summary:
For the distance to the lowest polymorph of the same formula, the calculation gives 24 meV per atom. The density of states at the Fermi level is 0.32 states/eV per atom. As for the crystal system: orthorhombic.

Unit cell a=4.069 b=7.423 c=14.206 alpha=90.00 beta=90.00 gamma=105.91
Fractional positions:
La 0.130 0.260 0.427
La 0.870 0.740 0.927
La 0.870 0.740 0.573
La 0.130 0.260 0.073
Tb 0.628 0.256 0.750
Tb 0.372 0.744 0.250
Se 0.500 0.000 0.500
Se 0.219 0.438 0.626
Se 0.017 0.034 0.250
Se 0.219 0.438 0.874
Se 0.781 0.562 0.374
Se 0.500 0.000 0.000
Se 0.781 0.562 0.126
Se 0.983 0.966 0.750

***

Entry 23:
A relaxed La3TbSe6 crystal. Source: Alexandria, functional PBE.

Summary:
For the distance to the lowest polymorph of the same formula, the calculation gives 115 meV per atom. As for the crystal system: monoclinic.

Unit cell a=7.483 b=7.651 c=7.651 alpha=60.75 beta=62.04 gamma=62.04
Fractional positions:
Se 0.344 0.660 0.164
Se 0.656 0.836 0.340
Se 0.344 0.164 0.660
Se 0.103 0.742 0.742
Se 0.897 0.258 0.258
Se 0.656 0.340 0.836
La 0.300 0.249 0.249
La 0.700 0.751 0.751
La 0.000 0.000 0.000
Tb 0.500 0.500 0.500

***

How do the records compare in energy relative to the elements, uncorrected? In the order shown, they have -300 -61 366 -98 -121 -1473 -333 -135 -660 -593 -352 -145 -129 -290 -220 283 -2003 -2272 -2095 -1909 -1404 -1286 -1797 kJ/mol of formula units.